Entry 1:
# PBE CeEr3As4, relaxed
# - Calculated formation energy: -1.483 eV/atom
# - Calculated volume: 198 Å³ per cell
data_CeEr3As4
_space_group_name_H-M_alt 'P m -3 m'
_space_group_IT_number 221
_space_group_name_Hall '-P 4 2 3'
_cell_length_a 5.8240
_cell_length_b 5.8240
_cell_length_c 5.8240
_cell_angle_alpha 90.00
_cell_angle_beta 90.00
_cell_angle_gamma 90.00
loop_
_atom_site_label
_atom_site_fract_x
_atom_site_fract_y
_atom_site_fract_z
Ce1 0.0000 0.0000 0.0000
Er1 0.0000 0.5000 0.5000
As1 0.0000 0.0000 0.5000
As2 0.5000 0.5000 0.5000



Entry 2:
# PBE Ce2ErAs3, relaxed
# - Calculated formation energy: -1.444 eV/atom
# - Calculated volume: 308 Å³ per cell
data_Ce2ErAs3
_space_group_name_H-M_alt 'I 4/m m m'
_space_group_IT_number 139
_space_group_name_Hall '-I 4 2'
_cell_length_a 4.1780
_cell_length_b 4.1780
_cell_length_c 17.6728
_cell_angle_alpha 90.00
_cell_angle_beta 90.00
_cell_angle_gamma 90.00
loop_
_atom_site_label
_atom_site_fract_x
_atom_site_fract_y
_atom_site_fract_z
Ce1 0.0000 0.0000 0.1659
Er1 0.0000 0.0000 0.5000
As1 0.0000 0.0000 0.0000
As2 0.0000 0.0000 0.3355



Q: Which of these has the highest calculated formation energy?
A: Ce2ErAs3



Q: Among the records above, which one has the lowest calculated volume?
A: CeEr3As4